[1]
## Sr3V2O7 (SCAN)

Data for a PBEsol-optimized structure of Sr3V2O7.

Summary:
The calculation puts the raw total energy at -15.1696 eV per atom. For the uncorrected formation energy, the calculation gives -3.0512 eV/atom. The symmetry is I4/mmm (139).

```
12
Lattice="-3.298 -0.545 -1.808 1.146 -3.470 -1.044 -2.902 -1.839 9.842" Properties=species:S:1:pos:R:3 pbc="T T T"
V -4.297 -5.122 5.388
V -0.757 -0.732 1.601
O -1.533 -1.482 3.242
O -2.649 -4.851 6.295
O 0.000 0.000 0.000
O -2.405 -1.003 0.694
O -3.521 -4.372 3.747
O -0.182 -2.466 1.076
O -4.871 -3.389 5.913
Sr -2.509 -2.427 5.309
Sr -1.076 -2.007 -1.426
Sr -2.545 -3.428 1.681
```



[2]
## GaSn3 (SCAN)

Data for a PBEsol-optimized structure of GaSn3.

Summary:
The calculation puts the raw total energy at -30.8059 eV per atom. The symmetry is I4/mmm (139). The value obtained for the formation energy is 0.89 eV/f.u.

```
4
Lattice="4.526 0.000 0.000 0.000 4.526 0.000 -2.263 -2.263 4.775" Properties=species:S:1:pos:R:3 pbc="T T T"
Ga 0.000 0.000 0.000
Sn 2.263 0.000 2.387
Sn 2.263 2.263 0.000
Sn 0.000 2.263 2.387
```



[3]
## Ir4Se (SCAN)

Data for a PBEsol-optimized structure of Ir4Se.

Summary:
The calculation puts the raw total energy at -60.3122 eV per atom. For the uncorrected formation energy, the calculation gives 0.5828 eV/atom. The symmetry is I4/mmm (139).

```
5
Lattice="3.618 0.000 0.000 0.000 3.618 0.000 -1.809 -1.809 6.259" Properties=species:S:1:pos:R:3 pbc="T T T"
Ir 0.000 1.809 3.129
Ir 0.000 0.000 5.005
Ir 1.809 1.809 1.254
Ir 1.809 0.000 3.129
Se 0.000 0.000 0.000
```



[4]
## ReTcW2 (SCAN)

Data for a PBEsol-optimized structure of ReTcW2.

Summary:
The calculation puts the raw total energy at -61.2804 eV per atom. The symmetry is Cmm2 (35). The value obtained for the formation energy is 0.41 eV/f.u.

```
4
Lattice="2.698 0.010 0.000 -0.901 2.543 0.000 0.000 0.000 8.768" Properties=species:S:1:pos:R:3 pbc="T T T"
Tc 0.899 1.277 2.204
W 0.899 1.277 6.559
W 0.000 0.000 0.032
Re 0.000 0.000 4.357
```



[5]
## TePtPb2 (SCAN)

Data for a PBEsol-optimized structure of TePtPb2.

Summary:
The calculation puts the raw total energy at -64.5516 eV per atom. For the uncorrected formation energy, the calculation gives 0.2000 eV/atom. The symmetry is I4/mmm (139).

```
4
Lattice="4.793 0.000 0.000 0.000 4.793 0.000 -2.396 -2.396 4.261" Properties=species:S:1:pos:R:3 pbc="T T T"
Pb 2.396 0.000 2.130
Pb 0.000 2.396 2.130
Pt 2.396 2.396 0.000
Te 0.000 0.000 0.000
```



[6]
## TlSb2Pt (SCAN)

Data for a PBEsol-optimized structure of TlSb2Pt.

Summary:
The calculation puts the raw total energy at -54.5973 eV per atom. For the uncorrected formation energy, the calculation gives -0.3291 eV/atom. The symmetry is Cmmm (65).

```
4
Lattice="-2.081 -1.459 3.317 0.715 -4.850 -1.685 3.724 1.796 3.126" Properties=species:S:1:pos:R:3 pbc="T T T"
Sb 3.161 0.551 2.225
Sb 1.279 -3.605 -0.784
Pt -1.040 -0.730 1.659
Tl 1.179 -2.256 2.379
```



[7]
## LaCuRh (SCAN)

Data for a PBEsol-optimized structure of LaCuRh.

Summary:
The calculation puts the raw total energy at -31.1665 eV per atom. The symmetry is P-6m2 (187). The value obtained for the formation energy is -1.42 eV/f.u.

```
3
Lattice="-3.179 -1.788 -1.233 2.229 -3.588 -0.545 -1.891 0.786 3.735" Properties=species:S:1:pos:R:3 pbc="T T T"
La -0.517 -0.672 2.308
Rh -0.733 -3.024 0.265
Cu -1.589 -0.894 -0.616
```



[8]
## CuTeRh2 (SCAN)

Data for a PBEsol-optimized structure of CuTeRh2.

Summary:
The calculation puts the raw total energy at -29.8373 eV per atom. For the uncorrected formation energy, the calculation gives 0.1611 eV/atom. The symmetry is P2/m (10).

```
4
Lattice="-1.678 -0.410 2.430 -2.767 -2.444 -2.323 2.599 -3.844 0.949" Properties=species:S:1:pos:R:3 pbc="T T T"
Te -2.223 -1.427 0.053
Rh 0.236 -1.097 0.873
Rh 0.685 -3.157 2.505
Cu -0.084 -3.144 -0.687
```



[9]
## KZnP2O7 (SCAN)

Data for a PBEsol-optimized structure of KZnP2O7.

Summary:
The calculation puts the raw total energy at -9.9787 eV per atom. For the uncorrected formation energy, the calculation gives -2.1369 eV/atom. The symmetry is Pmc2_1 (26).

```
44
Lattice="-3.926 -0.663 3.151 1.815 -10.040 0.148 7.569 1.512 9.750" Properties=species:S:1:pos:R:3 pbc="T T T"
K 3.580 -9.455 6.617
K -2.533 -8.347 3.260
K 2.725 -4.426 6.501
K 0.477 -2.665 0.043
P -0.350 -5.545 2.884
P 4.816 -1.288 6.148
P 5.018 0.717 10.100
P 3.139 -1.623 3.988
P 5.546 -4.368 10.479
P 2.199 -6.904 9.051
P -0.877 -0.461 2.505
P 0.521 -7.239 6.890
O 0.520 -2.821 7.964
O 5.565 -8.748 9.651
O 1.933 -2.039 4.836
O 5.984 -5.811 10.221
O 3.756 -1.675 7.184
O -1.712 -5.485 3.618
O 3.478 -6.895 8.209
O -0.806 -2.929 5.770
O -0.605 -0.753 7.074
O 4.977 -0.807 10.227
O 4.484 -4.247 11.599
O -0.701 -5.138 1.340
O 5.417 -4.866 5.922
O 1.656 -7.259 5.861
O 5.106 -3.653 9.218
O -0.557 -10.287 2.027
O 0.634 -4.546 3.458
O 3.268 -7.414 3.303
O 2.287 -2.312 9.754
O -0.783 -1.958 2.806
O 6.277 1.229 9.358
O 0.223 -6.961 2.801
O 5.091 -7.222 5.097
O 4.040 -5.141 4.149
O 0.771 -0.478 8.847
O 1.094 -9.641 3.891
O 6.360 -6.797 7.287
O 0.081 -0.008 1.377
Zn 4.063 -2.031 9.054
Zn 0.281 -2.787 4.182
Zn 1.502 -7.754 4.003
Zn 5.284 -6.998 8.876
```



[10]
## MoW2Se (SCAN)

Data for a PBEsol-optimized structure of MoW2Se.

Summary:
The calculation puts the raw total energy at -47.8138 eV per atom. For the uncorrected formation energy, the calculation gives 0.7712 eV/atom. The symmetry is P4/mmm (123).

```
4
Lattice="3.686 0.000 0.000 0.000 3.686 0.000 0.000 0.000 4.646" Properties=species:S:1:pos:R:3 pbc="T T T"
Se 0.000 0.000 2.323
Mo 1.843 1.843 2.323
W 1.843 0.000 0.000
W 0.000 1.843 0.000
```



[11]
## KSnAs2Se (SCAN)

Data for a PBEsol-optimized structure of KSnAs2Se.

Summary:
The calculation puts the raw total energy at -20.7591 eV per atom. For the uncorrected formation energy, the calculation gives 0.1828 eV/atom. The symmetry is P4/mmm (123).

```
5
Lattice="5.273 0.000 0.000 0.000 5.273 0.000 0.000 0.000 5.443" Properties=species:S:1:pos:R:3 pbc="T T T"
Sn 0.000 0.000 0.000
Se 0.000 0.000 2.722
As 2.636 0.000 0.000
As 0.000 2.636 0.000
K 2.636 2.636 2.722
```



[12]
## BaSr2Ag (SCAN)

Data for a PBEsol-optimized structure of BaSr2Ag.

Summary:
The calculation puts the raw total energy at -28.9916 eV per atom. The symmetry is P4mm (99). The value obtained for the formation energy is -0.50 eV/f.u.

```
4
Lattice="-3.469 -0.858 -1.845 1.830 -2.910 -2.087 -2.262 -6.713 7.375" Properties=species:S:1:pos:R:3 pbc="T T T"
Ba -1.545 -4.586 5.038
Ag -1.924 -5.162 1.636
Sr -0.843 -1.952 -1.891
Sr -0.720 -2.137 2.347
```



[13]
## GaAs2PtBr (SCAN)

Data for a PBEsol-optimized structure of GaAs2PtBr.

Summary:
The calculation puts the raw total energy at -28.8903 eV per atom. For the uncorrected formation energy, the calculation gives 0.3857 eV/atom. The symmetry is P4/mmm (123).

```
5
Lattice="4.787 0.000 0.000 0.000 4.787 0.000 0.000 0.000 5.465" Properties=species:S:1:pos:R:3 pbc="T T T"
Br 0.000 0.000 2.733
As 2.394 0.000 0.000
As 0.000 2.394 0.000
Pt 0.000 0.000 0.000
Ga 2.394 2.394 2.733
```



[14]
## NbRu2Cl (SCAN)

Data for a PBEsol-optimized structure of NbRu2Cl.

Summary:
The calculation puts the raw total energy at -27.0014 eV per atom. For the uncorrected formation energy, the calculation gives 0.6886 eV/atom. The symmetry is Fm-3m (225).

```
4
Lattice="4.402 0.000 0.000 2.201 3.812 0.000 2.201 1.271 3.594" Properties=species:S:1:pos:R:3 pbc="T T T"
Nb 4.402 2.542 1.797
Cl 0.000 0.000 0.000
Ru 2.201 1.271 0.899
Ru 6.603 3.812 2.696
```



[15]
## BeZn2As (SCAN)

Data for a PBEsol-optimized structure of BeZn2As.

Summary:
The calculation puts the raw total energy at -12.6128 eV per atom. The symmetry is I4/mmm (139). The value obtained for the formation energy is 1.12 eV/f.u.

```
4
Lattice="3.646 0.000 0.000 0.000 3.646 0.000 -1.823 -1.823 4.264" Properties=species:S:1:pos:R:3 pbc="T T T"
Be 0.000 0.000 0.000
Zn 1.823 0.000 2.132
Zn 0.000 1.823 2.132
As 1.823 1.823 0.000
```



[16]
## ReGe2RhF (SCAN)

Data for a PBEsol-optimized structure of ReGe2RhF.

Summary:
The calculation puts the raw total energy at -28.7304 eV per atom. For the uncorrected formation energy, the calculation gives 0.5864 eV/atom. The symmetry is P4/mmm (123).

```
5
Lattice="-0.007 2.227 3.137 -2.503 -3.253 2.303 3.986 -2.037 1.455" Properties=species:S:1:pos:R:3 pbc="T T T"
F -0.003 1.113 1.569
Ge -1.252 -1.626 1.152
Ge 1.993 -1.019 0.727
Re 0.738 -1.532 3.448
Rh 0.000 0.000 0.000
```



[17]
## BiIrC2S (SCAN)

Data for a PBEsol-optimized structure of BiIrC2S.

Summary:
The calculation puts the raw total energy at -34.6095 eV per atom. For the uncorrected formation energy, the calculation gives 1.2917 eV/atom. The symmetry is P4/mmm (123).

```
5
Lattice="-2.672 -1.922 -2.182 2.739 -0.669 -2.765 1.275 -4.423 2.334" Properties=species:S:1:pos:R:3 pbc="T T T"
C -1.336 -0.961 -1.091
C 1.370 -0.335 -1.382
S 0.637 -2.212 1.167
Ir 0.000 0.000 0.000
Bi 0.671 -3.507 -1.307
```



[18]
## Cd2HgTe (SCAN)

Data for a PBEsol-optimized structure of Cd2HgTe.

Summary:
The calculation puts the raw total energy at -41.4486 eV per atom. For the uncorrected formation energy, the calculation gives 0.1128 eV/atom. The symmetry is R-3m (166).

```
4
Lattice="3.096 0.000 0.000 1.548 2.681 0.000 1.548 0.894 11.643" Properties=species:S:1:pos:R:3 pbc="T T T"
Cd 4.644 2.681 8.494
Cd 1.548 0.894 3.149
Te 0.000 0.000 0.000
Hg 3.096 1.788 5.821
```



[19]
## Zr2CdHg (SCAN)

Data for a PBEsol-optimized structure of Zr2CdHg.

Summary:
The calculation puts the raw total energy at -40.2792 eV per atom. The symmetry is Pmmm (47). The value obtained for the formation energy is -1.14 eV/f.u.

```
4
Lattice="-0.590 -2.139 -2.086 1.659 -2.976 2.583 -5.658 -0.935 2.558" Properties=species:S:1:pos:R:3 pbc="T T T"
Hg -2.295 -3.025 1.527
Zr -1.422 -0.235 0.643
Zr -4.237 -0.700 1.915
Cd 0.535 -2.558 0.248
```



[20]
## TlCrSe4 (SCAN)

Data for a PBEsol-optimized structure of TlCrSe4.

Summary:
The calculation puts the raw total energy at -28.0769 eV per atom. For the uncorrected formation energy, the calculation gives 0.4325 eV/atom. The symmetry is F-43m (216).

```
6
Lattice="5.758 0.000 0.000 2.879 4.986 0.000 2.879 1.662 4.701" Properties=species:S:1:pos:R:3 pbc="T T T"
Se 4.310 2.489 1.760
Se 7.205 2.489 1.760
Se 5.758 3.324 4.123
Se 5.758 4.995 1.760
Cr 0.000 0.000 0.000
Tl 8.636 4.986 3.526
```